Crystalline LuBiIrPd at its relaxed geometry, computed with PBE-GGA.

```
LuBiIrPd
1.0
0.0000 3.4112 3.4112
3.4112 0.0000 3.4112
3.4112 3.4112 0.0000
Lu Bi Ir Pd
1 1 1 1
Direct
0.0000 0.0000 0.0000 Lu
0.5000 0.5000 0.5000 Bi
0.2500 0.2500 0.2500 Ir
0.7500 0.7500 0.7500 Pd
```

## Properties
Formation enthalpy at 0 K ... -0.51 eV per atom